Here is an optimized crystal structure of K2InBi from Alexandria via LeMat-Bulk. Energies are from PBE-GGA.

a b c (Å): 5.043 5.043 24.608
angles (deg): 90.00 90.00 90.00
Fractional coordinates of all 16 atoms:
K 0.247 0.250 0.125
K 0.250 0.747 0.375
K 0.250 0.753 0.875
K 0.253 0.250 0.625
K 0.747 0.750 0.625
K 0.750 0.247 0.875
K 0.750 0.253 0.375
K 0.753 0.750 0.125
In 0.000 0.000 0.500
In 0.000 0.500 0.750
In 0.500 0.000 0.250
In 0.500 0.500 0.000
Bi 0.000 0.000 0.000
Bi 0.000 0.500 0.250
Bi 0.500 0.000 0.750
Bi 0.500 0.500 0.500

Properties
* energy of formation from the pure elements: 60 meV/atom
* SG: No. 122
* volume: 39.12 Å³ per atom